Entry 1:
Material: CoSb
Method: DFT, PBE-GGA
State: relaxed Values from VASP.

```
&SYSTEM
  ibrav = 0, nat = 4, ntyp = 2
/
ATOMIC_SPECIES
Co 58.93 Co.upf
Sb 121.76 Sb.upf
ATOMIC_POSITIONS crystal
Co 0.250 0.250 0.177
Co 0.750 0.750 0.823
Sb 0.250 0.250 0.692
Sb 0.750 0.750 0.308
CELL_PARAMETERS angstrom
3.569 0.000 0.000
0.000 3.569 0.000
0.000 0.000 5.208
```

Values from the calculation:
**Magnetic moment**: 0.00 μB per atom
**Space-group type**: P4/nmm
**Density**: 9.05 g/cm³
**Formation energy without anion corrections**: 0.07 eV/atom

Entry 2:
Material: CoSb
Method: DFT, PBE-GGA
State: relaxed Values from VASP.

```
&SYSTEM
  ibrav = 0, nat = 12, ntyp = 2
/
ATOMIC_SPECIES
Co 58.93 Co.upf
Sb 121.76 Sb.upf
ATOMIC_POSITIONS crystal
Co 0.000 0.000 0.170
Co 0.000 0.000 0.830
Co 0.333 0.667 0.303
Co 0.333 0.667 0.472
Co 0.667 0.333 0.528
Co 0.667 0.333 0.697
Sb 0.000 0.000 0.396
Sb 0.000 0.000 0.604
Sb 0.333 0.667 0.079
Sb 0.333 0.667 0.767
Sb 0.667 0.333 0.233
Sb 0.667 0.333 0.921
CELL_PARAMETERS angstrom
3.953 0.000 0.000
-1.977 3.423 0.000
0.000 0.000 15.771
```

Values from the calculation:
**Magnetic moment**: 0.22 μB per atom
**Space-group type**: P-3m1
**Density**: 8.44 g/cm³
**Formation energy without anion corrections**: 0.11 eV/atom

Q: Among the records above, which one has the highest formation energy without anion corrections?
A: number 2